NbS2I: optimized geometry, PBE.

Structure (POSCAR):
```
NbS2I
1.0
1.694 0.978 11.797
-1.694 0.978 11.797
0.000 -1.956 11.797
Nb S I
1 2 1
Cartesian
0.000 0.000 0.000
0.000 0.000 13.343
0.000 0.000 22.048
0.000 0.000 17.696
```

energy above the most stable polymorph in this dataset = 3 meV per atom
uncorrected formation energy = -667 meV/atom
calculated density = 4020 kg/m3
total DFT energy (no corrections) = -5.64 eV per atom

NbS2I: optimized geometry, PBE.

Structure (POSCAR):
```
NbS2I
1.0
1.714 0.990 9.473
-1.714 0.990 9.473
0.000 -1.979 9.473
Nb S I
1 2 1
Cartesian
0.000 0.000 0.000
0.000 0.000 2.270
0.000 0.000 26.148
0.000 0.000 14.209
```

energy above the most stable polymorph in this dataset = 1279 meV per atom
uncorrected formation energy = 609 meV/atom
calculated density = 4890 kg/m3
total DFT energy (no corrections) = -4.36 eV per atom

Nb3SI: optimized geometry, PBE.

Structure (POSCAR):
```
Nb3SI
1.0
5.036 0.000 0.000
0.000 5.036 0.000
0.000 0.000 5.036
Nb S I
3 1 1
Cartesian
0.000 0.000 2.518
0.000 2.518 0.000
2.518 0.000 0.000
2.518 2.518 2.518
0.000 0.000 0.000
```

energy above the most stable polymorph in this dataset = 1431 meV per atom
uncorrected formation energy = 1851 meV/atom
calculated density = 5692 kg/m3
total DFT energy (no corrections) = -5.33 eV per atom

Nb2SI8: optimized geometry, PBE.

Structure (POSCAR):
```
Nb2SI8
1.0
8.753 -4.881 0.000
8.753 4.881 0.000
-2.882 0.000 7.430
Nb S I
2 1 8
Cartesian
1.549 0.000 1.699
13.073 0.000 5.731
0.000 0.000 0.000
0.811 0.000 4.251
4.432 2.134 5.867
4.177 0.000 1.253
10.191 2.134 1.563
4.432 -2.134 5.867
10.446 0.000 6.177
10.191 -2.134 1.563
13.812 0.000 3.179
```

uncorrected formation energy = -421 meV/atom
calculated density = 3226 kg/m3
total DFT energy (no corrections) = -3.75 eV per atom

Nb2SI: optimized geometry, PBE.

Structure (POSCAR):
```
Nb2SI
1.0
0.000 3.299 3.299
3.299 0.000 3.299
3.299 3.299 0.000
Nb S I
2 1 1
Cartesian
1.650 1.650 1.650
4.949 4.949 4.949
0.000 0.000 0.000
3.299 3.299 3.299
```

energy above the most stable polymorph in this dataset = 69 meV per atom
uncorrected formation energy = 190 meV/atom
calculated density = 7971 kg/m3
total DFT energy (no corrections) = -6.26 eV per atom

NbSnSI2: optimized geometry, PBE.

Structure (POSCAR):
```
NbSnSI2
1.0
5.531 0.000 0.000
0.000 5.531 0.000
0.000 0.000 5.241
Nb Sn S I
1 1 1 2
Cartesian
0.000 0.000 0.000
2.765 2.765 0.000
2.765 2.765 2.621
0.000 2.765 2.621
2.765 0.000 2.621
```

uncorrected formation energy = 1059 meV/atom
calculated density = 5152 kg/m3
total DFT energy (no corrections) = -3.20 eV per atom

Question: total DFT energy (no corrections) of number 2 (NbS2I)?
Answer: -4.36 eV per atom

Question: total DFT energy (no corrections) of number 2 (NbS2I)?
Answer: -4.36 eV per atom